The following is a DFT calculation (PBE-GGA) of a relaxed Cd2Ga2Pb3 crystal.

E = -18.0 eV per formula unit

Cell lengths 5.2373, 5.2373, 24.9240 Å; angles 90.00, 90.00, 120.00 degrees
With the nearest neighbours (Å) after each atom.
Space group R3m (No. 160, hexagonal axes)
Inequivalent atoms, fractional coordinates:
Cd (0.0000, 0.0000, 0.0000) x3  7 Pb 3.10-3.41
Cd (0.0000, 0.0000, 0.4810) x3  5 Pb 3.01-3.26
Ga (0.0000, 0.0000, 0.2276) x3  7 Pb 3.12-3.30
Ga (0.0000, 0.0000, 0.7416) x3  5 Pb 3.03-3.25
Pb (0.0000, 0.0000, 0.3601) x3  4 Cd 3.01-3.10, 4 Ga 3.25-3.30
Pb (0.0000, 0.0000, 0.6115) x3  4 Ga 3.24-3.28, 4 Cd 3.25-3.32
Pb (0.0000, 0.0000, 0.8630) x3  4 Ga 3.03-3.12, 3 Cd 3.26

=====

The following is a DFT calculation (PBE-GGA) of a relaxed Cd2GaPb2 crystal.

E = -11.9 eV per formula unit

Cell lengths 11.1347, 16.4595, 5.6962 Å; angles 90.00, 90.00, 90.00 degrees
With the nearest neighbours (Å) after each atom.
Space group Fdd2 (No. 43)
Inequivalent atoms, fractional coordinates:
Cd (0.0292, 0.4046, 0.0000) x16  1 Ga 3.06, 4 Pb 3.19-3.37, 3 Cd 3.21-3.28
Ga (0.0000, 0.0000, 0.9584) x8  2 Cd 3.06, 6 Pb 3.19-3.37
Pb (0.0245, 0.3050, 0.5158) x16  3 Ga 3.19-3.37, 6 Cd 3.19-3.56, 2 Pb 3.42

=====

The following is a DFT calculation (PBE-GGA) of a relaxed CdGaPd2 crystal.

E = -15.4 eV per formula unit

Cell lengths 6.4250, 6.4250, 6.4250 Å; angles 90.00, 90.00, 90.00 degrees
With the nearest neighbours (Å) after each atom.
Space group F-43m (No. 216)
Inequivalent atoms, fractional coordinates:
Cd (0.0000, 0.0000, 0.0000) x4  4 Ga 2.78, 4 Pd 2.78
Ga (0.2500, 0.2500, 0.7500) x4  4 Cd 2.78, 4 Pd 2.78
Pd (0.0000, 0.0000, 0.5000) x4  4 Pd 2.78, 4 Ga 2.78
Pd (0.2500, 0.2500, 0.2500) x4  4 Cd 2.78, 4 Pd 2.78

=====

The following is a DFT calculation (PBE-GGA) of a relaxed CdGa2Pd crystal.

E = -12.6 eV per formula unit

Cell lengths 6.5899, 6.5899, 6.5899 Å; angles 90.00, 90.00, 90.00 degrees
With the nearest neighbours (Å) after each atom.
Space group F-43m (No. 216)
Inequivalent atoms, fractional coordinates:
Cd (0.0000, 0.0000, 0.0000) x4  4 Ga 2.85, 4 Pd 2.85
Ga (0.0000, 0.0000, 0.5000) x4  4 Pd 2.85, 4 Ga 2.85
Ga (0.2500, 0.2500, 0.2500) x4  4 Cd 2.85, 4 Ga 2.85
Pd (0.2500, 0.2500, 0.7500) x4  4 Cd 2.85, 4 Ga 2.85

=====

The following is a DFT calculation (PBE-GGA) of a relaxed CdGaPd2 crystal.

E = -16.5 eV per formula unit

Cell lengths 3.0431, 3.0431, 7.0281 Å; angles 90.00, 90.00, 90.00 degrees
With the nearest neighbours (Å) after each atom.
Space group P4/mmm (No. 123)
Inequivalent atoms, fractional coordinates:
Cd (0.0000, 0.0000, 0.0000) x1  8 Pd 2.94, 4 Cd 3.04
Ga (0.0000, 0.0000, 0.5000) x1  8 Pd 2.63
Pd (0.5000, 0.5000, 0.2845) x2  4 Ga 2.63, 4 Cd 2.94

=====

The following is a DFT calculation (PBE-GGA) of a relaxed Cd2GaPd crystal.

E = -10.6 eV per formula unit

Cell lengths 6.6552, 6.6552, 6.6552 Å; angles 90.00, 90.00, 90.00 degrees
With the nearest neighbours (Å) after each atom.
Space group F-43m (No. 216)
Inequivalent atoms, fractional coordinates:
Cd (0.0000, 0.0000, 0.0000) x4  4 Cd 2.88, 4 Ga 2.88
Cd (0.2500, 0.2500, 0.2500) x4  4 Cd 2.88, 4 Pd 2.88
Ga (0.2500, 0.2500, 0.7500) x4  4 Cd 2.88, 4 Pd 2.88
Pd (0.0000, 0.0000, 0.5000) x4  4 Ga 2.88, 4 Cd 2.88

=====

The following is a DFT calculation (PBE-GGA) of a relaxed CdGaPd crystal.

E = -9.9 eV per formula unit

Cell lengths 6.2353, 6.2353, 6.2353 Å; angles 90.00, 90.00, 90.00 degrees
With the nearest neighbours (Å) after each atom.
Space group F-43m (No. 216)
Inequivalent atoms, fractional coordinates:
Cd (0.0000, 0.0000, 0.0000) x4  4 Pd 2.70
Ga (0.0000, 0.0000, 0.5000) x4  4 Pd 2.70
Pd (0.2500, 0.2500, 0.2500) x4  4 Cd 2.70, 4 Ga 2.70

=====

The following is a DFT calculation (PBE-GGA) of a relaxed Pr3Cd3GaPd2 crystal.

E = -35.8 eV per formula unit
M_tot = 0.00 Bohr magnetons per cell

Cell lengths 7.7007, 7.7007, 4.1826 Å; angles 90.00, 90.00, 120.00 degrees
With the nearest neighbours (Å) after each atom.
Space group P-62m (No. 189)
Inequivalent atoms, fractional coordinates:
Pr (0.0000, 0.5861, 0.0000) x3  4 Pd 3.12, 1 Ga 3.19, 6 Cd 3.32-3.48
Cd (0.0000, 0.2508, 0.5000) x3  2 Ga 2.85, 2 Pd 2.94
Ga (0.0000, 0.0000, 0.0000) x1  6 Cd 2.85, 3 Pr 3.19
Pd (0.3333, 0.6667, 0.5000) x2  3 Cd 2.94, 6 Pr 3.12